ScTi3Pb: relaxed, PBE-GGA.

- magnetization (μB/cell) = 2.6
- DOS(E_F) (states/eV/f.u.) = 11.25
- electronic total energy (eV per atom) = -5.638
- formation enthalpy at 0 K (eV/atom) = 1.11
- relative energy among the computed polymorphs (eV/atom) = 0.068
- SG = Pm-3m (221)

Lattice parameters (Å, degrees): 5.127 5.127 5.127 90.00 90.00 90.00
Element x y z (fractional)
Pb 0.000 0.000 0.000
Sc 0.500 0.500 0.500
Ti 0.000 0.500 0.000
Ti 0.000 0.000 0.500
Ti 0.500 0.000 0.000